(1)
HfNiN2 | PBE-GGA | optimized geometry

Unit cell a=5.903 b=5.903 c=5.903 alpha=135.20 beta=135.20 gamma=65.22
Positions (direct):
Hf 0.000 0.000 0.000
Hf 0.750 0.250 0.500
Ni 0.250 0.750 0.500
Ni 0.500 0.500 0.000
N 0.143 0.625 0.018
N 0.375 0.393 0.518
N 0.607 0.125 0.982
N 0.875 0.857 0.482

* E_form (uncorrected): -13.435 kcal/mol of atoms
* crystal system: tetragonal
* DOS(E_F): 4.44 states/eV/cell
* calculated total energy: -8.6790 eV per atom

---

(2)
Hf2NiN | PBE-GGA | optimized geometry

Unit cell a=6.824 b=6.824 c=6.824 alpha=28.76 beta=28.76 gamma=28.76
Positions (direct):
Hf 0.000 0.000 0.000
Hf 0.181 0.181 0.181
Ni 0.765 0.765 0.765
N 0.286 0.286 0.286

* E_form (uncorrected): -17.713 kcal/mol of atoms
* crystal system: trigonal
* DOS(E_F): 2.44 states/eV/cell
* calculated total energy: -9.2715 eV per atom

---

(3)
Hf4NiN2 | PBE-GGA | optimized geometry

Unit cell a=5.668 b=5.668 c=11.504 alpha=90.00 beta=90.00 gamma=146.49
Positions (direct):
Hf 0.000 0.000 0.000
Hf 0.000 0.000 0.500
Hf 0.267 0.733 0.611
Hf 0.267 0.733 0.889
Hf 0.432 0.568 0.250
Hf 0.568 0.432 0.750
Hf 0.733 0.267 0.111
Hf 0.733 0.267 0.389
Ni 0.114 0.886 0.250
Ni 0.886 0.114 0.750
N 0.366 0.634 0.060
N 0.366 0.634 0.440
N 0.634 0.366 0.560
N 0.634 0.366 0.940

* E_form (uncorrected): -28.456 kcal/mol of atoms
* crystal system: orthorhombic
* distance to the lowest polymorph of the same formula: 0.0 meV/atom
* DOS(E_F): 7.36 states/eV/cell
* calculated total energy: -10.1262 eV per atom